# SrCuRe2

An optimized crystal structure of SrCuRe2 (PBE-GGA, Alexandria).

Cell and atoms, written as POSCAR:
```
SrCuRe2
1.0
4.092 0.000 0.000
0.000 4.092 0.000
0.000 0.000 19.849
Sr Cu Re
4 4 8
Cartesian
0.000 0.000 0.000
0.000 2.046 4.962
2.046 0.000 14.887
2.046 2.046 9.925
0.000 0.000 9.925
0.000 2.046 14.887
2.046 0.000 4.962
2.046 2.046 0.000
0.646 3.069 12.406
1.023 0.646 7.444
1.023 1.400 17.368
1.400 3.069 2.481
2.691 1.023 2.481
3.069 2.691 17.368
3.069 3.446 7.444
3.446 1.023 12.406
```

Results
The calculation puts the calculated formation energy at 1.028 eV/atom. The energy above the most stable polymorph in this dataset comes out at 648 meV per atom. For the density of states at the Fermi level, the calculation gives 4.31 states/eV/f.u. The volume is 20.8 Å³/atom. Its total DFT energy (no corrections) is -6.640 eV per atom. For the total moment, the calculation gives 0.0 μB per cell.